First-principles (PBE-GGA) data for crystalline Pm4Ag3Au at its relaxed geometry, as listed in Alexandria via LeMat-Bulk.

Lattice parameters (Å, degrees): 3.8723 4.8801 11.2339 90.00 90.00 90.00
Last column: nearest neighbours and their distance in Å.
Element x y z (fractional)
Pm1 0.5000 0.5000 0.3559  1 Au 3.09, 6 Ag 3.16-3.20
Pm2 0.0000 0.5000 0.8632  2 Au 3.12, 5 Ag 3.18-3.20
Pm3 0.0000 0.0000 0.1396  3 Ag 3.14-3.16, 4 Au 3.18
Pm4 0.5000 0.0000 0.6414  7 Ag 3.13-3.20
Ag1 0.0000 0.5000 0.5781  2 Ag 3.01, 7 Pm 3.16-3.20
Ag2 0.0000 0.0000 0.4209  2 Ag 3.01, 7 Pm 3.14-3.20
Ag3 0.5000 0.0000 0.9198  2 Au 3.04, 7 Pm 3.13-3.18
Au1 0.5000 0.5000 0.0812  2 Ag 3.04, 7 Pm 3.09-3.18

Properties
Magnetic moment in μB per cell: 0.00
ΔE_f in eV per atom: -0.39
Polymorph energy (0 for the lowest one) in meV/atom: 9
Space group: No. 25
N(E_F) in states/eV/f.u.: 7.11